Entry 1:
An optimized crystal structure of Ce4Ge3S12, computed with PBE.

Unit cell a=11.5792 b=11.5792 c=11.5792 alpha=114.85 beta=114.85 gamma=114.85
Atoms (fractional coordinates):
Ce (0.9358, 0.4736, 0.7135)
Ce (0.7135, 0.9358, 0.4736)
Ce (0.2135, 0.9736, 0.4358)
Ce (0.4736, 0.7135, 0.9358)
Ce (0.9736, 0.4358, 0.2135)
Ce (0.9944, 0.9944, 0.9944)
Ce (0.4358, 0.2135, 0.9736)
Ce (0.4944, 0.4944, 0.4944)
Ge (0.4692, 0.8553, 0.6436)
Ge (0.1436, 0.3553, 0.9692)
Ge (0.9692, 0.1436, 0.3553)
Ge (0.8553, 0.6436, 0.4692)
Ge (0.6436, 0.4692, 0.8553)
Ge (0.3553, 0.9692, 0.1436)
S (0.6851, 0.8677, 0.6816)
S (0.3677, 0.1851, 0.1816)
S (0.2952, 0.6110, 0.5851)
S (0.5851, 0.2952, 0.6110)
S (0.7780, 0.3834, 0.3093)
S (0.6816, 0.6851, 0.8677)
S (0.6110, 0.5851, 0.2952)
S (0.8093, 0.8834, 0.2780)
S (0.1324, 0.8549, 0.5870)
S (0.3549, 0.6324, 0.0870)
S (0.5870, 0.1324, 0.8549)
S (0.0851, 0.1110, 0.7952)
S (0.1110, 0.7952, 0.0851)
S (0.1851, 0.1816, 0.3677)
S (0.1816, 0.3677, 0.1851)
S (0.6324, 0.0870, 0.3549)
S (0.3834, 0.3093, 0.7780)
S (0.0870, 0.3549, 0.6324)
S (0.2780, 0.8093, 0.8834)
S (0.8834, 0.2780, 0.8093)
S (0.3093, 0.7780, 0.3834)
S (0.8549, 0.5870, 0.1324)
S (0.8677, 0.6816, 0.6851)
S (0.7952, 0.0851, 0.1110)

raw total energy	-5.788	eV per atom
energy relative to the elements, uncorrected	-1.20	eV per atom



Entry 2:
An optimized crystal structure of Pm2MnSn3Pt4, computed with PBE.

Unit cell a=4.4574 b=4.4574 c=10.9684 alpha=90.00 beta=90.00 gamma=90.00
Atoms (fractional coordinates):
Pm (0.5000, 0.0000, 0.2534)
Pm (0.0000, 0.5000, 0.7466)
Mn (0.5000, 0.5000, 0.5000)
Sn (0.0000, 0.0000, 0.5000)
Sn (0.5000, 0.0000, 0.8666)
Sn (0.0000, 0.5000, 0.1334)
Pt (0.5000, 0.5000, 0.0000)
Pt (0.0000, 0.0000, 0.0000)
Pt (0.5000, 0.0000, 0.6316)
Pt (0.0000, 0.5000, 0.3684)

formation energy from the elements	-0.74	eV per atom
raw total energy	-6.228	eV per atom



Entry 3:
An optimized crystal structure of CeZrTi, computed with PBE.

Unit cell a=3.0518 b=3.0518 c=14.2491 alpha=90.00 beta=90.00 gamma=90.00
Atoms (fractional coordinates):
Ce (0.0000, 0.5000, 0.5908)
Ce (0.5000, 0.0000, 0.4092)
Zr (0.0000, 0.5000, 0.2176)
Zr (0.5000, 0.0000, 0.7824)
Ti (0.5000, 0.0000, 0.0672)
Ti (0.0000, 0.5000, 0.9328)

formation energy from the elements	0.06	eV per atom
raw total energy	-7.394	eV per atom
offset from the most stable computed form	0.0000	eV per atom



Entry 4:
An optimized crystal structure of Sb2POs, computed with PBE.

Unit cell a=3.0573 b=3.0573 c=9.7879 alpha=90.00 beta=90.00 gamma=117.78
Atoms (fractional coordinates):
Sb (0.0000, 0.0000, 0.2716)
Sb (0.0000, 0.0000, 0.7284)
P (0.5000, 0.5000, 0.0000)
Os (0.5000, 0.5000, 0.5000)

raw total energy	-5.431	eV per atom
energy relative to the elements, uncorrected	0.79	eV per atom



Entry 5:
An optimized crystal structure of BeZn2Cl6, computed with PBE.

Unit cell a=6.3618 b=9.2584 c=9.2584 alpha=92.82 beta=72.80 gamma=72.80
Atoms (fractional coordinates):
Be (0.2500, 0.2206, 0.7794)
Be (0.7500, 0.7794, 0.2206)
Zn (0.0831, 0.6470, 0.8132)
Zn (0.4169, 0.1868, 0.3530)
Zn (0.9169, 0.3530, 0.1868)
Zn (0.5831, 0.8132, 0.6470)
Cl (0.2561, 0.7717, 0.6270)
Cl (0.2439, 0.3730, 0.2283)
Cl (0.7439, 0.2283, 0.3730)
Cl (0.7561, 0.6270, 0.7717)
Cl (0.8453, 0.8025, 0.4092)
Cl (0.6547, 0.5908, 0.1975)
Cl (0.1547, 0.1975, 0.5908)
Cl (0.3453, 0.4092, 0.8025)
Cl (0.0342, 0.7798, 0.0450)
Cl (0.4658, 0.9550, 0.2202)
Cl (0.9658, 0.2202, 0.9550)
Cl (0.5342, 0.0450, 0.7798)

raw total energy	-3.156	eV per atom
energy relative to the elements, uncorrected	-1.23	eV per atom



Entry 6:
An optimized crystal structure of LaDyTmHg, computed with PBE.

Unit cell a=5.4937 b=5.4937 c=5.4937 alpha=60.00 beta=60.00 gamma=60.00
Atoms (fractional coordinates):
Tm (0.7500, 0.7500, 0.7500)
La (0.5000, 0.5000, 0.5000)
Hg (0.2500, 0.2500, 0.2500)
Dy (0.0000, 0.0000, 0.0000)

formation energy from the elements	-0.08	eV per atom
raw total energy	-3.655	eV per atom
offset from the most stable computed form	0.1452	eV per atom



Entry 7:
An optimized crystal structure of TaNbAlOs, computed with PBE.

Unit cell a=4.5115 b=4.5115 c=4.5115 alpha=60.00 beta=60.00 gamma=60.00
Atoms (fractional coordinates):
Nb (0.5000, 0.5000, 0.5000)
Os (0.0000, 0.0000, 0.0000)
Al (0.7500, 0.7500, 0.7500)
Ta (0.2500, 0.2500, 0.2500)

formation energy from the elements	-0.19	eV per atom
raw total energy	-9.414	eV per atom



Entry 8:
An optimized crystal structure of CaFe2Rh, computed with PBE.

Unit cell a=3.1861 b=4.3353 c=4.5807 alpha=90.00 beta=90.00 gamma=90.00
Atoms (fractional coordinates):
Ca (0.0000, 0.5000, 0.5000)
Rh (0.5000, 0.0000, 0.5000)
Fe (0.0000, 0.0000, 0.0000)
Fe (0.5000, 0.5000, 0.0000)

formation energy from the elements	0.29	eV per atom
raw total energy	-6.280	eV per atom